Entry from Alexandria via LeMat-Bulk: a geometry-optimized Ac6RuPtAu2 structure (GGA-PBE).

Cell and atoms, written as POSCAR:
```
Ac6RuPtAu2
1.0
-0.253 -7.282 -2.816
4.599 -2.041 -5.972
6.436 -5.020 1.563
Au Ac Pt Ru
2 6 1 1
Direct
0.015 0.016 0.953
0.515 0.515 0.455
0.584 0.213 0.252
0.700 0.093 0.765
0.442 0.700 0.765
0.950 0.584 0.253
0.093 0.442 0.765
0.213 0.950 0.252
0.826 0.826 0.521
0.322 0.322 0.034
```

SG = No. 146
calculated density = 9.2 g/cm3
energy relative to the elements = -588 meV/atom
N(E_F) = 8.488 states/eV/f.u.